Entry 1:
## Ba2SrRe (PBE)

Data for an optimized crystal structure of Ba2SrRe.

Properties
ΔE to the lowest computed polymorph = 25 meV/atom
SG = No. 123
E_tot = -3.6293 eV/atom

Lattice parameters (Å, degrees): 3.8406 3.8406 10.7310 90.00 90.00 90.00
Closest atoms and distances in Å follow each position.
Fractional positions:
Ba  0.0000  0.0000  0.1770  4 Re 3.31
Ba  0.0000  0.0000  0.8230  4 Re 3.31
Sr  0.5000  0.5000  0.5000  4 Sr 3.84
Re  0.5000  0.5000  0.0000  8 Ba 3.31

=====

Entry 2:
## TiFe2Mo (PBE)

Data for an optimized crystal structure of TiFe2Mo.

Properties
SG = No. 122
E_tot = -8.4929 eV/atom

Lattice parameters (Å, degrees): 5.3670 5.3670 5.3670 103.25 103.25 122.79
Closest atoms and distances in Å follow each position.
Fractional positions:
Ti  0.0000  0.0000  0.0000  4 Fe 2.47, 2 Mo 2.57
Ti  0.7500  0.2500  0.5000  4 Fe 2.47, 2 Mo 2.57
Fe  0.1310  0.6250  0.0060  2 Mo 2.41, 2 Ti 2.47, 2 Fe 2.57
Fe  0.3750  0.3810  0.5060  2 Mo 2.41, 2 Ti 2.47, 2 Fe 2.57
Fe  0.6190  0.1250  0.9940  2 Mo 2.41, 2 Ti 2.47, 2 Fe 2.57
Fe  0.8750  0.8690  0.4940  2 Mo 2.41, 2 Ti 2.47, 2 Fe 2.57
Mo  0.2500  0.7500  0.5000  4 Fe 2.41, 2 Ti 2.57
Mo  0.5000  0.5000  0.0000  4 Fe 2.41, 2 Ti 2.57